Dy6Co2Si | PBE | relaxed

Properties
E_form (uncorrected) = -299 meV per atom
Total energy = -5.55 eV/atom

POSCAR file:
```
Dy6Co2Si
1.0
7.7514 0.0370 -2.7660
-4.1054 6.7216 -2.3880
-0.0274 -0.0370 8.2301
Dy Co Si
12 4 2
Direct
0.5423 0.7218 0.8205 Dy
0.4577 0.2782 0.1795 Dy
0.0987 0.2782 0.8205 Dy
0.9013 0.7218 0.1795 Dy
0.8057 0.7610 0.5667 Dy
0.1943 0.2390 0.4333 Dy
0.1943 0.7610 0.9553 Dy
0.8057 0.2390 0.0447 Dy
0.6867 0.3597 0.6730 Dy
0.3133 0.6403 0.3270 Dy
0.3133 0.9863 0.6730 Dy
0.6867 0.0137 0.3270 Dy
0.5000 0.3857 0.8857 Co
0.5000 0.6143 0.1143 Co
0.6631 0.0000 0.6631 Co
0.3369 0.0000 0.3369 Co
0.0000 0.5000 0.5000 Si
0.0000 0.0000 0.0000 Si
```